VASP calculation (PBE) on a relaxed TbZnPtAu crystal.

Properties
space group = No. 8
calculated volume = 79.6 Å³/cell
DOS at the Fermi energy = 1.686 states/eV per cell
electronic total energy = -4.592 eV per atom
density = 12.85 g cm⁻³
formation energy from the elements = -0.787 eV/atom

Cell and atoms, written as extended XYZ:
```
4
Lattice="-1.827 -3.505 2.139 4.460 0.627 0.114 -2.801 3.268 2.963" Properties=species:S:1:pos:R:3 pbc="T T T"
Zn -1.929 2.850 3.022
Pt 0.474 1.876 3.479
Au 1.041 -1.974 2.376
Tb -1.470 -0.370 2.859
```